# 1
A plane-wave DFT calculation with PBE-GGA was carried out for a relaxed structure of CePmNb.

Computed properties:
Total energy   -6.65 eV/atom
Crystal system   triclinic

Cell: 3.4488 3.4490 13.3699 Å, 91.77 91.68 94.18°
Last column: nearest neighbours and their distance in Å.
Space group P-1 (No. 2)
Asymmetric unit:
Ce (0.2005, 0.1992, 0.4119) [2 per cell]  1 Nb 2.53
Pm (0.2732, 0.2696, 0.1186) [2 per cell]  4 Nb 3.09-3.28, 4 Pm 3.45
Nb (0.1893, 0.1918, 0.7244) [2 per cell]  1 Ce 2.53



# 2
A plane-wave DFT calculation with PBE-GGA was carried out for a relaxed structure of K3SmGa2O6.

Computed properties:
Total energy   -5.62 eV/atom
Crystal system   trigonal
Energy relative to the elements, uncorrected   -1.97 eV/atom

Cell: 6.1956 6.1956 7.1977 Å, 90.00 90.00 120.00°
Last column: nearest neighbours and their distance in Å.
Space group P-3m1 (No. 164)
Asymmetric unit:
K (0.0000, 0.0000, 0.0000) [1 per cell]  6 O 2.75
K (0.3333, 0.6667, 0.7488) [2 per cell]  6 O 3.11, 1 Ga 3.31
Sm (0.0000, 0.0000, 0.5000) [1 per cell]  6 O 2.34
Ga (0.3333, 0.6667, 0.2893) [2 per cell]  3 O 1.78
O (0.1672, 0.3344, 0.2903) [6 per cell]  1 Ga 1.78



# 3
A plane-wave DFT calculation with PBE-GGA was carried out for a relaxed structure of KZrSc2.

Computed properties:
Total energy   -4.78 eV/atom
Energy above the most stable polymorph in this dataset   2.00 eV/f.u.
Crystal system   tetragonal

Cell: 4.7153 4.7153 10.0329 Å, 90.00 90.00 90.00°
Last column: nearest neighbours and their distance in Å.
Space group I-4m2 (No. 119)
Asymmetric unit:
K (0.0000, 0.0000, 0.0000) [2 per cell]  8 Sc 3.33-3.44, 4 Zr 3.44
Zr (0.0000, 0.5000, 0.2500) [2 per cell]  8 Sc 3.33-3.44, 4 K 3.44
Sc (0.0000, 0.0000, 0.5000) [2 per cell]  4 K 3.33, 4 Zr 3.44, 4 Sc 3.44
Sc (0.0000, 0.5000, 0.7500) [2 per cell]  4 Zr 3.33, 4 K 3.44, 4 Sc 3.44



# 4
A plane-wave DFT calculation with PBE-GGA was carried out for a relaxed structure of TaOsW4.

Computed properties:
Total energy   -12.12 eV/atom
Crystal system   cubic

Cell: 7.3958 7.3958 7.3958 Å, 90.00 90.00 90.00°
Last column: nearest neighbours and their distance in Å.
Space group F-43m (No. 216)
Asymmetric unit:
Ta (0.0000, 0.0000, 0.0000) [4 per cell]  12 W 3.06, 4 Os 3.20
Os (0.2500, 0.2500, 0.7500) [4 per cell]  12 W 3.07, 4 Ta 3.20
W (0.1262, 0.1262, 0.3738) [16 per cell]  6 W 2.59-2.64



# 5
A plane-wave DFT calculation with PBE-GGA was carried out for a relaxed structure of RbCrP2S.

Computed properties:
Total energy   -3.09 eV/atom
Energy above the most stable polymorph in this dataset   9.90 eV/f.u.
Crystal system   tetragonal
Energy relative to the elements, uncorrected   2.02 eV/atom

Cell: 5.4161 5.4161 5.5955 Å, 90.00 90.00 90.00°
Last column: nearest neighbours and their distance in Å.
Space group P4/mmm (No. 123)
Asymmetric unit:
Rb (0.0000, 0.0000, 0.0000) [1 per cell]  4 P 2.71, 2 S 2.80
Cr (0.5000, 0.5000, 0.5000) [1 per cell]  4 S 3.83, 8 P 3.89
P (0.0000, 0.5000, 0.0000) [2 per cell]  2 Rb 2.71
S (0.0000, 0.0000, 0.5000) [1 per cell]  2 Rb 2.80



# 6
A plane-wave DFT calculation with PBE-GGA was carried out for a relaxed structure of Li2TbSi4.

Computed properties:
Total energy   -4.55 eV/atom
Crystal system   trigonal
Energy relative to the elements, uncorrected   -0.25 eV/atom

Cell: 4.0098 4.0098 27.0268 Å, 90.00 90.00 120.00°
Last column: nearest neighbours and their distance in Å.
Space group R-3m (No. 166, hexagonal axes)
Asymmetric unit:
Li (0.0000, 0.0000, 0.1374) [6 per cell]  4 Si 2.61-2.78, 3 Li 2.81
Tb (0.0000, 0.0000, 0.0000) [3 per cell]  6 Si 2.96
Si (0.0000, 0.0000, 0.2403) [6 per cell]  3 Si 2.41, 3 Li 2.61
Si (0.0000, 0.0000, 0.4018) [6 per cell]  3 Si 2.41



# 7
A plane-wave DFT calculation with PBE-GGA was carried out for a relaxed structure of DyThIr2.

Computed properties:
Total energy   -8.35 eV/atom
Energy above the most stable polymorph in this dataset   0.00 eV/f.u.
Crystal system   orthorhombic

Cell: 4.2523 3.8942 10.8359 Å, 90.00 90.00 90.00°
Last column: nearest neighbours and their distance in Å.
Space group Amm2 (No. 38)
Asymmetric unit:
Dy (0.0000, 0.0000, 0.0000) [2 per cell]  7 Ir 2.93-3.16
Th (0.5000, 0.0000, 0.7186) [2 per cell]  7 Ir 2.89-3.19
Ir (0.0000, 0.0000, 0.2708) [2 per cell]  2 Ir 2.89, 3 Dy 2.93-3.16, 4 Th 2.94
Ir (0.5000, 0.0000, 0.4515) [2 per cell]  2 Ir 2.89, 3 Th 2.89-3.19, 4 Dy 2.93



# 8
A plane-wave DFT calculation with PBE-GGA was carried out for a relaxed structure of Tb4SmIn4.

Computed properties:
Total energy   -3.96 eV/atom
Crystal system   tetragonal

Cell: 7.2404 7.2404 10.6430 Å, 90.00 90.00 90.00°
Last column: nearest neighbours and their distance in Å.
Space group P4_2/nmc (No. 137, origin choice 2)
Asymmetric unit:
Tb (0.0207, 0.2500, 0.1648) [8 per cell]  5 In 3.14-3.18, 3 Tb 3.31-3.32
Sm (0.2500, 0.7500, 0.2500) [2 per cell]  4 In 3.67, 8 Tb 4.08
In (0.0322, 0.2500, 0.4635) [8 per cell]  5 Tb 3.14-3.18, 1 In 3.15



# 9
A plane-wave DFT calculation with PBE-GGA was carried out for a relaxed structure of PuBi2Rh.

Computed properties:
Total energy   -7.47 eV/atom
Crystal system   tetragonal

Cell: 4.7368 4.7368 4.3159 Å, 90.00 90.00 90.00°
Last column: nearest neighbours and their distance in Å.
Space group P4/mmm (No. 123)
Asymmetric unit:
Pu (0.0000, 0.0000, 0.0000) [1 per cell]  8 Bi 3.20, 4 Rh 3.35
Bi (0.0000, 0.5000, 0.5000) [2 per cell]  4 Rh 3.20, 4 Pu 3.20, 4 Bi 3.35
Rh (0.5000, 0.5000, 0.0000) [1 per cell]  8 Bi 3.20, 4 Pu 3.35



# 10
A plane-wave DFT calculation with PBE-GGA was carried out for a relaxed structure of HfWN2.

Computed properties:
Total energy   -10.59 eV/atom
Energy above the most stable polymorph in this dataset   0.00 eV/f.u.
Crystal system   trigonal
Energy relative to the elements, uncorrected   -0.70 eV/atom

Cell: 3.2074 3.2074 18.4043 Å, 90.00 90.00 120.00°
Last column: nearest neighbours and their distance in Å.
Space group R-3m (No. 166, hexagonal axes)
Asymmetric unit:
Hf (0.0000, 0.0000, 0.0000) [3 per cell]  6 N 2.17
W (0.0000, 0.0000, 0.5000) [3 per cell]  2 N 1.94
N (0.0000, 0.0000, 0.3944) [6 per cell]  1 W 1.94, 3 Hf 2.17



# 11
A plane-wave DFT calculation with PBE-GGA was carried out for a relaxed structure of TbPrHo14.

Computed properties:
Total energy   -4.59 eV/atom
Crystal system   orthorhombic

Cell: 11.4324 7.1107 12.3038 Å, 90.00 90.00 90.00°
Last column: nearest neighbours and their distance in Å.
Space group Amm2 (No. 38)
Asymmetric unit:
Tb (0.0000, 0.0000, 0.0000) [2 per cell]  10 Ho 3.53-3.55, 2 Pr 3.56
Pr (0.0000, 0.0000, 0.4998) [2 per cell]  10 Ho 3.54-3.55, 2 Tb 3.56
Ho (0.0000, 0.2500, 0.2500) [4 per cell]  8 Ho 3.52-3.56, 2 Pr 3.55, 2 Tb 3.55
Ho (0.2506, 0.0000, 0.1670) [4 per cell]  11 Ho 3.51-3.56, 1 Tb 3.53
Ho (0.2522, 0.0000, 0.6672) [4 per cell]  11 Ho 3.50-3.56, 1 Pr 3.54
Ho (0.2527, 0.2504, 0.4167) [8 per cell]  10 Ho 3.49-3.56, 1 Tb 3.54, 1 Pr 3.54
Ho (0.5000, 0.0000, 0.3335) [2 per cell]  12 Ho 3.49-3.56
Ho (0.5000, 0.0000, 0.8337) [2 per cell]  12 Ho 3.49-3.56
Ho (0.5000, 0.2498, 0.0839) [4 per cell]  12 Ho 3.50-3.56



# 12
A plane-wave DFT calculation with PBE-GGA was carried out for a relaxed structure of Ba3Cl.

Computed properties:
Total energy   -2.24 eV/atom
Energy above the most stable polymorph in this dataset   2.05 eV/f.u.
Crystal system   hexagonal
Energy relative to the elements, uncorrected   -0.34 eV/atom

Cell: 8.1733 8.1733 14.3449 Å, 90.00 90.00 120.00°
Last column: nearest neighbours and their distance in Å.
Space group P6_3/mmc (No. 194)
Asymmetric unit:
Ba (0.0000, 0.5000, 0.0000) [6 per cell]  8 Ba 4.09-4.29, 4 Cl 4.09-4.29
Ba (0.1666, 0.3331, 0.2500) [6 per cell]  8 Ba 4.08-4.29, 4 Cl 4.09-4.29
Cl (0.0000, 0.0000, 0.0000) [2 per cell]  12 Ba 4.09-4.29
Cl (0.3333, 0.6667, 0.7500) [2 per cell]  12 Ba 4.09-4.29